{"formula": "La2Cu2O5", "functional": "GGA-PBEsol", "state": "relaxed", "sg": "Pbam", "raw_formation_energy_ev_per_atom": -2.19, "final_energy_ev_per_atom": -7.253, "rho_g_cm3": 7.464, "e_above_lowest_polymorph_ev_per_atom": 0.0000, "cell": [[5.366, 0.000, 0.000], [0.000, 10.383, 0.000], [0.000, 0.000, 3.872]], "species": ["La", "La", "La", "La", "Cu", "Cu", "Cu", "Cu", "O", "O", "O", "O", "O", "O", "O", "O", "O", "O"], "frac_coords": [[0.194, 0.138, 0.000], [0.306, 0.638, 0.000], [0.694, 0.362, 0.000], [0.806, 0.862, 0.000], [0.201, 0.395, 0.500], [0.299, 0.895, 0.500], [0.701, 0.105, 0.500], [0.799, 0.605, 0.500], [0.000, 0.000, 0.500], [0.079, 0.716, 0.500], [0.207, 0.396, 0.000], [0.293, 0.896, 0.000], [0.421, 0.216, 0.500], [0.500, 0.500, 0.500], [0.579, 0.784, 0.500], [0.707, 0.104, 0.000], [0.793, 0.604, 0.000], [0.921, 0.284, 0.500]]}